1.
## MgMo4 (PBE-GGA)

Data for crystalline MgMo4 at its relaxed geometry.

```
MgMo4
1.0
-3.575 3.575 1.588
3.575 -3.575 1.588
3.575 3.575 -1.588
Mg Mo
1 4
Direct
0.000 0.000 0.000 Mg
0.813 0.613 0.425 Mo
0.187 0.387 0.575 Mo
0.613 0.187 0.800 Mo
0.387 0.813 0.200 Mo
```

Properties
Offset from the most stable computed form (meV per atom): 0
Total magnetization (μB/f.u.): 0.0
SG: I4/m (87)
Energy of formation from the pure elements (eV/atom): 0.159

2.
## YTa2Ag (PBE-GGA)

Data for crystalline YTa2Ag at its relaxed geometry.

```
YTa2Ag
1.0
3.299 0.000 0.000
0.000 4.735 0.099
0.000 4.720 5.367
Ag Ta Y
1 2 1
Direct
0.000 0.000 0.500 Ag
0.000 0.000 0.000 Ta
0.500 0.500 0.000 Ta
0.500 0.500 0.500 Y
```

Properties
Offset from the most stable computed form (meV per atom): 149
Total magnetization (μB/f.u.): 0.0
SG: P2/m (10)
Energy of formation from the pure elements (eV/atom): 0.331

3.
## LaZrB (PBE-GGA)

Data for crystalline LaZrB at its relaxed geometry.

```
LaZrB
1.0
9.390 0.000 0.014
0.000 3.511 0.000
-4.120 0.000 7.908
B Zr La
4 4 4
Direct
0.078 0.000 0.974 B
0.922 0.000 0.026 B
0.078 0.500 0.474 B
0.922 0.500 0.526 B
0.893 0.000 0.300 Zr
0.107 0.000 0.700 Zr
0.893 0.500 0.800 Zr
0.107 0.500 0.200 Zr
0.344 0.000 0.556 La
0.656 0.000 0.444 La
0.344 0.500 0.056 La
0.656 0.500 0.944 La
```

Properties
Offset from the most stable computed form (meV per atom): 170
Total magnetization (μB/f.u.): 0.0
SG: C2/m (12)
Energy of formation from the pure elements (eV/atom): -0.185

4.
## LaFe2Pb (PBE-GGA)

Data for crystalline LaFe2Pb at its relaxed geometry.

```
LaFe2Pb
1.0
4.590 -0.029 -0.016
2.322 3.959 -0.016
2.316 1.317 4.917
Fe La Pb
2 1 1
Direct
0.933 0.933 0.202 Fe
0.567 0.567 0.298 Fe
0.750 0.750 0.750 La
0.250 0.250 0.250 Pb
```

Properties
Total magnetization (μB/f.u.): 4.0
SG: R-3m (166)
Energy of formation from the pure elements (eV/atom): 0.135

5.
## Zr2PaAs4 (PBE-GGA)

Data for crystalline Zr2PaAs4 at its relaxed geometry.

```
Zr2PaAs4
1.0
-3.254 2.111 0.507
-1.762 -5.686 -2.722
-1.523 -5.189 11.825
Zr Pa As
4 2 8
Direct
0.134 0.268 0.441 Zr
0.866 0.732 0.941 Zr
0.134 0.268 0.059 Zr
0.866 0.732 0.559 Zr
0.612 0.224 0.750 Pa
0.388 0.776 0.250 Pa
0.770 0.541 0.131 As
0.770 0.541 0.369 As
0.230 0.459 0.869 As
0.230 0.459 0.631 As
0.946 0.893 0.750 As
0.054 0.107 0.250 As
0.500 0.000 0.000 As
0.500 0.000 0.500 As
```

Properties
Total magnetization (μB/f.u.): 0.0
SG: Cmcm (63)
Energy of formation from the pure elements (eV/atom): -0.927

6.
## Tl2SiBr (PBE-GGA)

Data for crystalline Tl2SiBr at its relaxed geometry.

```
Tl2SiBr
1.0
-6.758 -2.439 -1.829
-5.001 -5.365 -1.081
-2.657 -0.559 4.054
Br Si Tl
1 1 2
Direct
0.250 0.250 0.250 Br
0.750 0.750 0.750 Si
0.065 0.065 0.935 Tl
0.435 0.435 0.565 Tl
```

Properties
Offset from the most stable computed form (meV per atom): 125
Total magnetization (μB/f.u.): 0.0
SG: Immm (71)

7.
## PuTiN2 (PBE-GGA)

Data for crystalline PuTiN2 at its relaxed geometry.

```
PuTiN2
1.0
-2.982 0.847 0.471
-1.879 -1.790 1.761
-0.068 2.591 5.355
Pu Ti N
1 1 2
Direct
0.497 0.497 0.510 Pu
0.669 0.669 0.992 Ti
0.070 0.070 0.789 N
0.264 0.264 0.208 N
```

Properties
Total magnetization (μB/f.u.): 4.8
Electronic total energy (eV/atom): -10.981
SG: R3m (160)

8.
## RbCdAg3 (PBE-GGA)

Data for crystalline RbCdAg3 at its relaxed geometry.

```
RbCdAg3
1.0
-2.459 1.333 4.994
4.149 -2.455 5.979
2.779 6.546 2.901
Rb Cd Ag
2 2 6
Direct
0.750 0.317 0.183 Rb
0.250 0.683 0.817 Rb
0.000 0.500 0.500 Cd
0.500 0.000 0.000 Cd
0.785 0.215 0.715 Ag
0.285 0.215 0.715 Ag
0.715 0.785 0.285 Ag
0.215 0.785 0.285 Ag
0.750 0.909 0.591 Ag
0.250 0.091 0.409 Ag
```

Properties
Offset from the most stable computed form (meV per atom): 0
Total magnetization (μB/f.u.): 0.0
SG: Imma (74)
Energy of formation from the pure elements (eV/atom): 0.034

9.
## AsClF3 (PBE-GGA)

Data for crystalline AsClF3 at its relaxed geometry.

```
AsClF3
1.0
-1.358 -1.892 -3.501
2.171 -3.453 1.024
-3.336 -1.477 2.092
As F Cl
1 3 1
Direct
0.000 0.000 0.000 As
0.000 0.500 0.000 F
0.000 0.000 0.500 F
0.500 0.000 0.000 F
0.500 0.500 0.500 Cl
```

Properties
Offset from the most stable computed form (meV per atom): 361
Total magnetization (μB/f.u.): 1.0
SG: Pm-3m (221)

10.
## LaDyErHg (PBE-GGA)

Data for crystalline LaDyErHg at its relaxed geometry.

```
LaDyErHg
1.0
3.665 0.000 0.000
0.000 3.665 0.000
0.000 0.000 8.881
La Dy Er Hg
1 1 1 1
Direct
0.000 0.000 0.073 La
0.500 0.500 0.784 Dy
0.500 0.500 0.360 Er
0.000 0.000 0.568 Hg
```

Properties
Offset from the most stable computed form (meV per atom): 0
Total magnetization (μB/f.u.): 0.0
SG: P4mm (99)
Energy of formation from the pure elements (eV/atom): -0.225

11.
## SrPm2Al (PBE-GGA)

Data for crystalline SrPm2Al at its relaxed geometry.

```
SrPm2Al
1.0
-2.817 -2.693 3.019
-2.456 -1.889 -3.977
3.330 -3.777 -0.262
Sr Al Pm
1 1 2
Direct
0.500 0.000 0.000 Sr
0.500 0.500 0.500 Al
0.000 0.000 0.500 Pm
0.000 0.500 0.000 Pm
```

Properties
Offset from the most stable computed form (meV per atom): 86
Total magnetization (μB/f.u.): 0.0
SG: P4/mmm (123)
Energy of formation from the pure elements (eV/atom): -0.001

12.
## NaFeB3 (PBE-GGA)

Data for crystalline NaFeB3 at its relaxed geometry.

```
NaFeB3
1.0
-0.165 3.203 2.573
-0.808 -2.550 3.123
4.028 -0.380 0.732
Na B Fe
1 3 1
Direct
0.000 0.000 0.000 Na
0.000 0.500 0.000 B
0.000 0.000 0.500 B
0.500 0.000 0.000 B
0.500 0.500 0.500 Fe
```

Properties
Offset from the most stable computed form (meV per atom): 2793
Total magnetization (μB/f.u.): 0.2
SG: Pm-3m (221)
Energy of formation from the pure elements (eV/atom): 3.265

Please write out number 4 again, unchanged.
## LaFe2Pb (PBE-GGA)

Data for crystalline LaFe2Pb at its relaxed geometry.

```
LaFe2Pb
1.0
4.590 -0.029 -0.016
2.322 3.959 -0.016
2.316 1.317 4.917
Fe La Pb
2 1 1
Direct
0.933 0.933 0.202 Fe
0.567 0.567 0.298 Fe
0.750 0.750 0.750 La
0.250 0.250 0.250 Pb
```

Properties
Total magnetization (μB/f.u.): 4.0
SG: R-3m (166)
Energy of formation from the pure elements (eV/atom): 0.135

- Look up the total magnetization of the eighth one.
  0.0 μB/f.u.

- What is the total magnetization in the second record?
  0.0 μB/f.u.

- Number 2 is which compound?
  YTa2Ag